Record 1
Here is a geometry-optimized LiMg2Ge structure from the Alexandria database. Energies are from PBE.

Geometry as POSCAR:
```
LiMg2Ge
1.0
-3.529 1.702 0.817
-0.302 -2.352 3.594
2.008 3.107 2.202
Ge Mg Li
1 2 1
direct
0.500 0.000 0.000 Ge
0.000 0.000 0.500 Mg
0.000 0.500 0.000 Mg
0.500 0.500 0.500 Li
```

Computed properties:
E_tot: -2.623 eV/atom
V: 74.20 Å³ per cell
DFT formation energy: -193 meV/atom
space-group type: P4/mmm, No. 123
M_tot: 0.00 μB/f.u.

---

Record 2
Here is a geometry-optimized BiPd2Pb structure from the Alexandria database. Energies are from PBE.

Geometry as POSCAR:
```
BiPd2Pb
1.0
5.723 -0.010 -0.008
-1.076 5.621 -0.008
1.135 1.370 5.385
Bi Pd Pb
2 4 2
direct
0.052 0.501 0.426 Bi
0.501 0.052 0.426 Bi
0.661 0.172 0.870 Pd
0.172 0.661 0.870 Pd
0.959 0.959 0.534 Pd
0.549 0.549 0.527 Pd
0.131 0.131 0.988 Pb
0.643 0.643 0.994 Pb
```

Computed properties:
E_tot: -4.783 eV/atom
V: 173.34 Å³ per cell
DFT formation energy: -289 meV/atom
space-group type: Cm, No. 8
M_tot: 0.00 μB/f.u.